NaCoO2 PBE with a Hubbard U relaxed; crystal system = trigonal
1.0
1.759 0.000 6.224
-0.880 1.523 6.224
-0.880 -1.523 6.224
O Co Na
2 1 1
direct
0.912 0.912 0.912
0.088 0.088 0.088
0.000 0.000 0.000
0.500 0.500 0.500

---

NaCo3O PBE with a Hubbard U relaxed; crystal system = cubic
1.0
-4.321 0.348 -1.273
1.254 -0.275 -4.332
-0.411 -4.496 0.166
Co Na O
3 1 1
direct
0.000 0.500 0.000
0.000 0.000 0.500
0.500 0.000 0.000
0.000 0.000 0.000
0.500 0.500 0.500

---

Na4CoO3 PBE with a Hubbard U relaxed; crystal system = monoclinic
1.0
6.264 0.000 -0.011
3.587 5.135 -0.011
2.957 1.542 7.509
Na Co O
8 2 6
direct
0.330 0.647 0.118
0.895 0.475 0.213
0.647 0.330 0.618
0.929 0.241 0.934
0.437 0.099 0.024
0.475 0.895 0.713
0.099 0.437 0.524
0.241 0.929 0.434
0.706 0.005 0.313
0.005 0.706 0.813
0.685 0.695 0.454
0.028 0.006 0.729
0.695 0.685 0.954
0.359 0.258 0.269
0.006 0.028 0.229
0.258 0.359 0.769

---

Na3CoO3 PBE with a Hubbard U relaxed; crystal system = cubic
1.0
8.317 0.000 0.000
-2.772 7.841 0.000
-2.772 -3.921 6.791
O Co Na
12 4 12
direct
0.251 0.476 0.476
0.225 0.749 0.225
0.000 0.775 0.524
0.749 0.225 0.225
0.476 0.251 0.476
0.775 0.000 0.524
0.476 0.476 0.251
0.000 0.524 0.775
0.524 0.000 0.775
0.524 0.775 0.000
0.225 0.225 0.749
0.775 0.524 0.000
0.000 0.633 0.000
0.367 0.367 0.367
0.633 0.000 0.000
0.000 0.000 0.633
0.000 0.510 0.275
0.275 0.000 0.510
0.510 0.275 0.000
0.725 0.725 0.234
0.510 0.000 0.275
0.725 0.234 0.725
0.275 0.510 0.000
0.490 0.490 0.766
0.490 0.766 0.490
0.000 0.275 0.510
0.234 0.725 0.725
0.766 0.490 0.490

---

Na3CoO3 PBE with a Hubbard U relaxed; crystal system = monoclinic
1.0
-3.855 4.063 -2.269
0.791 -4.883 -3.472
-3.982 -2.529 3.432
Na Co O
6 2 6
direct
0.754 0.246 0.000
0.816 0.184 0.500
0.624 0.624 0.349
0.246 0.754 0.000
0.376 0.376 0.651
0.184 0.816 0.500
0.197 0.197 0.149
0.803 0.803 0.851
0.906 0.906 0.186
0.467 0.168 0.266
0.168 0.467 0.266
0.533 0.832 0.734
0.832 0.533 0.734
0.094 0.094 0.814

---

NaCoO3 PBE with a Hubbard U relaxed; crystal system = cubic
1.0
3.939 0.000 0.000
0.000 3.939 0.000
0.000 0.000 3.939
O Co Na
3 1 1
direct
0.000 0.000 0.500
0.000 0.500 0.000
0.500 0.000 0.000
0.500 0.500 0.500
0.000 0.000 0.000

---

no.,electronic total energy (eV per atom),volume (Å³/atom)
1,-4.688,12.508
2,-2.034,18.445
3,-4.410,15.109
4,-4.710,15.815
5,-4.715,13.735
6,-3.569,12.225